Entry 1:
{
  "formula": "ScCu2Mo",
  "functional": "GGA-PBE",
  "state": "relaxed",
  "lattice": [[1.424, 0.822, 8.907], [-1.424, 0.822, 8.907], [0.000, -1.644, 8.907]],
  "species": ["Sc", "Cu", "Cu", "Mo"],
  "frac_coords": [[0.000, 0.000, 0.000], [0.493, 0.493, 0.493], [0.752, 0.752, 0.752], [0.240, 0.240, 0.240]],
  "final_energy_ev_per_atom": -6.0293,
  "formation_energy_mev_per_atom": 309,
  "sg": "No. 160",
  "relative_energy_ev_per_atom": 0.209
}

=====

Entry 2:
{
  "formula": "Sc2CuMo",
  "functional": "GGA-PBE",
  "state": "relaxed",
  "lattice": [[1.523, 0.879, 9.355], [-1.523, 0.879, 9.355], [0.000, -1.758, 9.355]],
  "species": ["Sc", "Sc", "Cu", "Mo"],
  "frac_coords": [[0.000, 0.000, 0.000], [0.230, 0.230, 0.230], [0.743, 0.743, 0.743], [0.482, 0.482, 0.482]],
  "final_energy_ev_per_atom": -6.5658,
  "formation_energy_mev_per_atom": 332,
  "sg": "No. 160",
  "relative_energy_ev_per_atom": 0.340
}

=====

Entry 3:
{
  "formula": "Sc2CuMo",
  "functional": "GGA-PBE",
  "state": "relaxed",
  "lattice": [[-2.013, 2.013, 9.218], [2.013, -2.013, 9.218], [2.013, 2.013, -9.218]],
  "species": ["Sc", "Sc", "Sc", "Sc", "Cu", "Cu", "Mo", "Mo"],
  "frac_coords": [[0.123, 0.625, 0.998], [0.375, 0.373, 0.498], [0.627, 0.125, 0.002], [0.875, 0.877, 0.502], [0.250, 0.750, 0.500], [0.500, 0.500, 0.000], [0.000, 0.000, 0.000], [0.750, 0.250, 0.500]],
  "final_energy_ev_per_atom": -6.3287,
  "formation_energy_mev_per_atom": 569,
  "sg": "No. 122",
  "relative_energy_ev_per_atom": 0.577
}

=====

Entry 4:
{
  "formula": "ScCu2Mo",
  "functional": "GGA-PBE",
  "state": "relaxed",
  "lattice": [[3.061, 0.000, 0.000], [0.000, 3.303, 0.000], [0.000, 0.000, 6.082]],
  "species": ["Sc", "Cu", "Cu", "Mo"],
  "frac_coords": [[0.000, 0.000, 0.000], [0.000, 0.000, 0.471], [0.500, 0.500, 0.265], [0.500, 0.500, 0.701]],
  "final_energy_ev_per_atom": -6.2181,
  "formation_energy_mev_per_atom": 121,
  "sg": "No. 25",
  "relative_energy_ev_per_atom": 0.020
}

=====

Entry 5:
{
  "formula": "Sc2CuMo2",
  "functional": "GGA-PBE",
  "state": "relaxed",
  "lattice": [[6.736, 0.000, 0.000], [0.000, 6.736, 0.000], [0.000, 0.000, 4.121]],
  "species": ["Sc", "Sc", "Sc", "Sc", "Cu", "Cu", "Mo", "Mo", "Mo", "Mo"],
  "frac_coords": [[0.175, 0.325, 0.000], [0.325, 0.825, 0.000], [0.675, 0.175, 0.000], [0.825, 0.675, 0.000], [0.000, 0.000, 0.500], [0.500, 0.500, 0.500], [0.124, 0.624, 0.500], [0.376, 0.124, 0.500], [0.624, 0.876, 0.500], [0.876, 0.376, 0.500]],
  "final_energy_ev_per_atom": -7.4154,
  "formation_energy_mev_per_atom": 269,
  "sg": "No. 127",
  "relative_energy_ev_per_atom": 0.000
}

=====

Entry 6:
{
  "formula": "ScCuMo3",
  "functional": "GGA-PBE",
  "state": "relaxed",
  "lattice": [[4.571, 0.000, 0.000], [0.000, 4.571, 0.000], [0.000, 0.000, 4.571]],
  "species": ["Sc", "Cu", "Mo", "Mo", "Mo"],
  "frac_coords": [[0.000, 0.000, 0.000], [0.500, 0.500, 0.500], [0.000, 0.000, 0.500], [0.000, 0.500, 0.000], [0.500, 0.000, 0.000]],
  "final_energy_ev_per_atom": -6.4950,
  "formation_energy_mev_per_atom": 2089,
  "sg": "No. 221",
  "relative_energy_ev_per_atom": 0.788
}

=====

Entry 7:
{
  "formula": "Sc2CuMo",
  "functional": "GGA-PBE",
  "state": "relaxed",
  "lattice": [[0.000, 3.284, 3.284], [3.284, 0.000, 3.284], [3.284, 3.284, 0.000]],
  "species": ["Sc", "Sc", "Cu", "Mo"],
  "frac_coords": [[0.250, 0.250, 0.250], [0.750, 0.750, 0.750], [0.000, 0.000, 0.000], [0.500, 0.500, 0.500]],
  "final_energy_ev_per_atom": -6.8339,
  "formation_energy_mev_per_atom": 64,
  "sg": "No. 225",
  "relative_energy_ev_per_atom": 0.072
}

=====

Entry 8:
{
  "formula": "Sc2CuMo",
  "functional": "GGA-PBE",
  "state": "relaxed",
  "lattice": [[0.000, 3.271, 3.271], [3.271, 0.000, 3.271], [3.271, 3.271, 0.000]],
  "species": ["Sc", "Sc", "Cu", "Mo"],
  "frac_coords": [[0.000, 0.000, 0.000], [0.250, 0.250, 0.250], [0.750, 0.750, 0.750], [0.500, 0.500, 0.500]],
  "final_energy_ev_per_atom": -6.6081,
  "formation_energy_mev_per_atom": 289,
  "sg": "No. 216",
  "relative_energy_ev_per_atom": 0.298
}

=====

Entry 9:
{
  "formula": "ScCu2SnMo",
  "functional": "GGA-PBE",
  "state": "relaxed",
  "lattice": [[4.696, 0.000, 0.000], [0.000, 4.696, 0.000], [0.000, 0.000, 5.074]],
  "species": ["Sc", "Cu", "Cu", "Sn", "Mo"],
  "frac_coords": [[0.000, 0.000, 0.000], [0.000, 0.500, 0.500], [0.500, 0.000, 0.500], [0.500, 0.500, 0.000], [0.500, 0.500, 0.500]],
  "final_energy_ev_per_atom": -5.1163,
  "formation_energy_mev_per_atom": 755,
  "sg": "No. 123"
}

=====

Entry 10:
{
  "formula": "SrSc2CuMo",
  "functional": "GGA-PBE",
  "state": "relaxed",
  "lattice": [[5.155, 0.000, 0.000], [0.000, 5.155, 0.000], [0.000, 0.000, 4.700]],
  "species": ["Sr", "Sc", "Sc", "Cu", "Mo"],
  "frac_coords": [[0.000, 0.000, 0.000], [0.000, 0.500, 0.000], [0.500, 0.000, 0.000], [0.500, 0.500, 0.500], [0.000, 0.000, 0.500]],
  "final_energy_ev_per_atom": -3.8023,
  "formation_energy_mev_per_atom": 2052,
  "sg": "No. 123"
}

=====

Entry 11:
{
  "formula": "ScCuTcMo",
  "functional": "GGA-PBE",
  "state": "relaxed",
  "lattice": [[0.000, 3.152, 3.152], [3.152, 0.000, 3.152], [3.152, 3.152, 0.000]],
  "species": ["Sc", "Cu", "Tc", "Mo"],
  "frac_coords": [[0.000, 0.000, 0.000], [0.750, 0.750, 0.750], [0.250, 0.250, 0.250], [0.500, 0.500, 0.500]],
  "final_energy_ev_per_atom": -7.9356,
  "formation_energy_mev_per_atom": -29,
  "sg": "No. 216"
}

=====

Entry 12:
{
  "formula": "ScTiCuMo",
  "functional": "GGA-PBE",
  "state": "relaxed",
  "lattice": [[0.000, 3.192, 3.192], [3.192, 0.000, 3.192], [3.192, 3.192, 0.000]],
  "species": ["Sc", "Ti", "Cu", "Mo"],
  "frac_coords": [[0.000, 0.000, 0.000], [0.500, 0.500, 0.500], [0.750, 0.750, 0.750], [0.250, 0.250, 0.250]],
  "final_energy_ev_per_atom": -7.3217,
  "formation_energy_mev_per_atom": -33,
  "sg": "No. 216"
}

=====

Entry 13:
{
  "formula": "ZrScCu2Mo",
  "functional": "GGA-PBE",
  "state": "relaxed",
  "lattice": [[4.724, 0.000, 0.000], [0.000, 4.724, 0.000], [0.000, 0.000, 4.647]],
  "species": ["Zr", "Sc", "Cu", "Cu", "Mo"],
  "frac_coords": [[0.000, 0.000, 0.000], [0.500, 0.500, 0.000], [0.000, 0.500, 0.500], [0.500, 0.000, 0.500], [0.500, 0.500, 0.500]],
  "final_energy_ev_per_atom": -5.8131,
  "formation_energy_mev_per_atom": 968,
  "sg": "No. 123"
}

=====

Entry 14:
{
  "formula": "CuMo2Se",
  "functional": "GGA-PBE",
  "state": "relaxed",
  "lattice": [[4.611, -1.492, 0.000], [4.611, 1.492, 0.000], [-1.242, 0.000, 4.373]],
  "species": ["Cu", "Mo", "Mo", "Se"],
  "frac_coords": [[0.000, 0.000, 0.000], [0.259, 0.259, 0.860], [0.479, 0.479, 0.500], [0.741, 0.741, 0.340]],
  "final_energy_ev_per_atom": -7.0097,
  "sg": "No. 8",
  "raw_formation_energy_ev_per_atom": 0.30
}

=====

Entry 15:
{
  "formula": "CuMo2Se",
  "functional": "GGA-PBE",
  "state": "relaxed",
  "lattice": [[3.751, 0.000, 0.000], [0.000, 3.751, 0.000], [0.000, 0.000, 4.444]],
  "species": ["Cu", "Mo", "Mo", "Se"],
  "frac_coords": [[0.000, 0.000, 0.000], [0.000, 0.500, 0.500], [0.500, 0.000, 0.500], [0.500, 0.500, 0.000]],
  "final_energy_ev_per_atom": -6.7898,
  "sg": "No. 123",
  "raw_formation_energy_ev_per_atom": 0.52
}

=====

Entry 16:
{
  "formula": "CuMoSe2",
  "functional": "GGA-PBE",
  "state": "relaxed",
  "lattice": [[3.902, -1.645, 0.000], [3.902, 1.645, 0.000], [-1.111, 0.000, 6.598]],
  "species": ["Cu", "Mo", "Se", "Se"],
  "frac_coords": [[0.000, 0.000, 0.000], [0.240, 0.240, 0.772], [0.516, 0.516, 0.599], [0.730, 0.730, 0.084]],
  "final_energy_ev_per_atom": -5.4998,
  "sg": "No. 8",
  "raw_formation_energy_ev_per_atom": -0.03,
  "relative_energy_ev_per_atom": 0.085
}

=====

Entry 17:
{
  "formula": "Cu4Mo2Se",
  "functional": "GGA-PBE",
  "state": "relaxed",
  "lattice": [[-2.343, 2.343, 6.066], [2.343, -2.343, 6.066], [2.343, 2.343, -6.066]],
  "species": ["Cu", "Cu", "Cu", "Cu", "Mo", "Mo", "Se"],
  "frac_coords": [[0.000, 0.500, 0.500], [0.194, 0.194, 0.000], [0.500, 0.000, 0.500], [0.806, 0.806, 0.000], [0.404, 0.404, 0.000], [0.596, 0.596, 0.000], [0.000, 0.000, 0.000]],
  "final_energy_ev_per_atom": -4.8148,
  "sg": "No. 139",
  "raw_formation_energy_ev_per_atom": 1.12
}

=====

Entry 18:
{
  "formula": "CuMoSe2",
  "functional": "GGA-PBE",
  "state": "relaxed",
  "lattice": [[3.165, 0.000, 0.000], [0.000, 3.165, 0.000], [0.000, 0.000, 6.468]],
  "species": ["Cu", "Mo", "Se", "Se"],
  "frac_coords": [[0.000, 0.000, 0.000], [0.000, 0.000, 0.500], [0.500, 0.500, 0.263], [0.500, 0.500, 0.737]],
  "final_energy_ev_per_atom": -5.4599,
  "sg": "No. 123",
  "raw_formation_energy_ev_per_atom": 0.01,
  "relative_energy_ev_per_atom": 0.125
}

=====

Entry 19:
{
  "formula": "CuMo2Se",
  "functional": "GGA-PBE",
  "state": "relaxed",
  "lattice": [[2.963, 0.000, 0.000], [0.000, 4.517, 0.000], [-0.157, 0.000, 4.668]],
  "species": ["Cu", "Mo", "Mo", "Se"],
  "frac_coords": [[0.000, 0.000, 0.000], [0.478, 0.000, 0.500], [0.815, 0.500, 0.723], [0.355, 0.500, 0.176]],
  "final_energy_ev_per_atom": -6.9444,
  "sg": "No. 6",
  "raw_formation_energy_ev_per_atom": 0.37
}

=====

Entry 20:
{
  "formula": "CuMo2Se",
  "functional": "GGA-PBE",
  "state": "relaxed",
  "lattice": [[3.297, 0.000, 0.000], [0.000, 3.297, 0.000], [0.000, 0.000, 5.690]],
  "species": ["Cu", "Mo", "Mo", "Se"],
  "frac_coords": [[0.000, 0.000, 0.000], [0.000, 0.000, 0.475], [0.500, 0.500, 0.243], [0.500, 0.500, 0.767]],
  "final_energy_ev_per_atom": -7.1220,
  "sg": "No. 99",
  "raw_formation_energy_ev_per_atom": 0.19
}